Here is crystalline Ac2Bi3Pt2 at its relaxed geometry from Alexandria via LeMat-Bulk. Energies are from PBE.

Cell: 4.6246 6.1534 8.0388 Å, 107.53 90.00 112.07°
Positions (direct):
Bi1 0.6224 0.2448 0.4437
Bi2 0.3776 0.7552 0.5563
Bi3 0.5000 0.0000 0.0000
Ac1 0.1437 0.2875 0.8017
Ac2 0.8563 0.7125 0.1983
Pt1 0.1704 0.3409 0.2232
Pt2 0.8296 0.6591 0.7768

Computed properties:
Energy of formation ... -738 meV per atom
Mass density ... 12.2 g cm⁻³
SG ... C2/m (12)
Total magnetic moment ... 0.000 μB per cell
Electronic total energy ... -5.30 eV per atom

=====

Here is crystalline Ga3FePb at its relaxed geometry from Alexandria via LeMat-Bulk. Energies are from PBE.

Cell: 4.6847 4.6847 4.6847 Å, 90.00 90.00 90.00°
Positions (direct):
Fe1 0.0000 0.0000 0.0000
Ga1 0.0000 0.5000 0.0000
Ga2 0.0000 0.0000 0.5000
Ga3 0.5000 0.0000 0.0000
Pb1 0.5000 0.5000 0.5000

Computed properties:
Offset from the most stable computed form ... 0.00 kcal/mol of atoms
Energy of formation ... 80 meV per atom
Mass density ... 7.6 g cm⁻³
SG ... Pm-3m (221)
Total magnetic moment ... 1.060 μB per cell
Electronic total energy ... -4.17 eV per atom

=====

Here is crystalline Na2SrTlBi at its relaxed geometry from Alexandria via LeMat-Bulk. Energies are from PBE.

Cell: 5.5636 6.3315 5.5636 Å, 90.00 90.00 90.00°
Positions (direct):
Na1 0.0000 0.0000 0.5000
Bi1 0.0000 0.5000 0.0000
Na2 0.5000 0.0000 0.0000
Tl1 0.0000 0.0000 0.0000
Sr1 0.5000 0.5000 0.5000

Computed properties:
Energy of formation ... -14 meV per atom
Mass density ... 4.6 g cm⁻³
SG ... P4/mmm (123)
Total magnetic moment ... 0.000 μB per cell
Electronic total energy ... -2.13 eV per atom

=====

Here is crystalline CeY2RhN4 at its relaxed geometry from Alexandria via LeMat-Bulk. Energies are from PBE.

Cell: 3.3874 6.0753 11.6196 Å, 90.00 90.00 106.19°
Positions (direct):
N1 0.7234 0.4467 0.6305
N2 0.2766 0.5533 0.3695
Y1 0.3710 0.7420 0.9520
N3 0.5402 0.0803 0.2500
Rh1 0.8542 0.7085 0.7500
N4 0.7234 0.4467 0.8695
Y2 0.6290 0.2580 0.4520
N5 0.2766 0.5533 0.1305
N6 0.4598 0.9197 0.7500
N7 0.0000 0.0000 0.0000
Rh2 0.1458 0.2915 0.2500
Y3 0.3710 0.7420 0.5480
Y4 0.6290 0.2580 0.0480
N8 0.0000 0.0000 0.5000
Ce1 0.1154 0.2308 0.7500
Ce2 0.8846 0.7692 0.2500

Computed properties:
Mass density ... 6.9 g cm⁻³
SG ... Cmcm (63)
Total magnetic moment ... 0.000 μB per cell
Electronic total energy ... -8.48 eV per atom
Formation energy without anion corrections ... -8.30 eV per formula unit

=====

Here is crystalline Y3Be2Ir3 at its relaxed geometry from Alexandria via LeMat-Bulk. Energies are from PBE.

Cell: 4.0995 5.5211 13.8472 Å, 90.00 90.00 111.79°
Positions (direct):
Be1 0.7863 0.5727 0.9043
Y1 0.0798 0.1595 0.6089
Ir1 0.3593 0.7185 0.5371
Ir2 0.6407 0.2815 0.4629
Y2 0.6354 0.2708 0.2500
Be2 0.2137 0.4273 0.4043
Y3 0.9202 0.8405 0.1089
Ir3 0.6698 0.3396 0.7500
Y4 0.9202 0.8405 0.3911
Be3 0.7863 0.5727 0.5957
Ir4 0.6407 0.2815 0.0371
Y5 0.3646 0.7292 0.7500
Ir5 0.3593 0.7185 0.9629
Y6 0.0798 0.1595 0.8911
Be4 0.2137 0.4273 0.0957
Ir6 0.3302 0.6604 0.2500

Computed properties:
Energy of formation ... -690 meV per atom
Mass density ... 9.8 g cm⁻³
SG ... Cmcm (63)
Total magnetic moment ... 0.000 μB per cell
Electronic total energy ... -7.37 eV per atom

=====

Here is crystalline Tl2Pd8Pb at its relaxed geometry from Alexandria via LeMat-Bulk. Energies are from PBE.

Cell: 4.1914 6.4697 7.6643 Å, 105.68 105.87 90.00°
Positions (direct):
Tl1 0.7839 0.3413 0.5678
Pb1 0.5000 0.0000 0.0000
Pd1 0.9632 0.2724 0.9265
Pd2 0.8541 0.7998 0.7082
Pd3 0.0368 0.7276 0.0735
Pd4 0.6758 0.9164 0.3515
Pd5 0.5902 0.4606 0.1804
Pd6 0.3242 0.0836 0.6485
Pd7 0.4098 0.5394 0.8196
Tl2 0.2161 0.6587 0.4322
Pd8 0.1459 0.2002 0.2918

Computed properties:
Offset from the most stable computed form ... 0.11 kcal/mol of atoms
Energy of formation ... -185 meV per atom
Mass density ... 12.7 g cm⁻³
SG ... C2/m (12)
Total magnetic moment ... 0.000 μB per cell
Electronic total energy ... -4.73 eV per atom

=====

Here is crystalline AlP2Au at its relaxed geometry from Alexandria via LeMat-Bulk. Energies are from PBE.

Cell: 5.7758 5.7758 4.4720 Å, 113.68 113.68 32.61°
Positions (direct):
Al1 0.7500 0.7500 0.7500
Au1 0.2500 0.2500 0.2500
P1 0.0066 0.0066 0.9239
P2 0.4934 0.4934 0.5761

Computed properties:
Energy of formation ... -142 meV per atom
Mass density ... 6.5 g cm⁻³
SG ... C2/m (12)
Total magnetic moment ... 0.000 μB per cell
Electronic total energy ... -4.60 eV per atom

=====

Here is crystalline InHI2O at its relaxed geometry from Alexandria via LeMat-Bulk. Energies are from PBE.

Cell: 6.4978 6.4978 2.9353 Å, 90.00 90.00 90.00°
Positions (direct):
I1 0.0000 0.5000 0.0000
H1 0.0000 0.0000 0.0000
I2 0.5000 0.0000 0.0000
O1 0.0000 0.0000 0.5000
In1 0.5000 0.5000 0.5000

Computed properties:
Offset from the most stable computed form ... 0.00 kcal/mol of atoms
Mass density ... 5.2 g cm⁻³
SG ... P4/mmm (123)
Total magnetic moment ... 0.823 μB per cell
Electronic total energy ... -2.63 eV per atom

=====

Here is crystalline ErSiHRh at its relaxed geometry from Alexandria via LeMat-Bulk. Energies are from PBE.

Cell: 3.9983 3.9983 7.1389 Å, 90.00 90.00 90.00°
Positions (direct):
Rh1 0.5000 0.5000 0.0000
H1 0.0000 0.0000 0.5000
Er1 0.0000 0.5000 0.3477
Si1 0.0000 0.5000 0.8150
Rh2 0.0000 0.0000 0.0000
Si2 0.5000 0.0000 0.1850
Er2 0.5000 0.0000 0.6523
H2 0.5000 0.5000 0.5000

Computed properties:
Mass density ... 8.7 g cm⁻³
SG ... P4/nmm (129)
Total magnetic moment ... 0.000 μB per cell
Electronic total energy ... -6.10 eV per atom

=====

Here is crystalline La3Pm6Y at its relaxed geometry from Alexandria via LeMat-Bulk. Energies are from PBE.

Cell: 6.3907 10.6368 10.6368 Å, 101.00 90.00 90.00°
Positions (direct):
Pm1 0.4010 0.0148 0.4359
Pm2 0.9010 0.4359 0.0148
La1 0.4565 0.8646 0.7209
La2 0.9565 0.7209 0.8646
La3 0.5890 0.6340 0.3660
La4 0.4565 0.2791 0.1354
Pm3 0.9010 0.9852 0.5641
Pm4 0.5733 0.5595 0.6796
Pm5 0.1209 0.7414 0.2586
Pm6 0.5733 0.3204 0.4405
La5 0.0890 0.3660 0.6340
La6 0.9565 0.1354 0.2791
Y1 0.6814 0.8460 0.1540
Pm7 0.4010 0.5641 0.9852
Pm8 0.2325 0.9391 0.0609
Y2 0.1814 0.1540 0.8460
Pm9 0.7325 0.0609 0.9391
Pm10 0.6209 0.2586 0.7414
Pm11 0.0733 0.6796 0.5595
Pm12 0.0733 0.4405 0.3204

Computed properties:
Offset from the most stable computed form ... 0.00 kcal/mol of atoms
Energy of formation ... 174 meV per atom
Mass density ... 6.4 g cm⁻³
SG ... Cmc2_1 (36)
Total magnetic moment ... 0.000 μB per cell
Electronic total energy ... -4.80 eV per atom

=====

Here is crystalline Si2Os3 at its relaxed geometry from Alexandria via LeMat-Bulk. Energies are from PBE.

Cell: 10.1608 10.1608 10.1608 Å, 15.85 15.85 15.85°
Positions (direct):
Os1 0.0000 0.0000 0.0000
Si1 0.3984 0.3984 0.3984
Si2 0.6016 0.6016 0.6016
Os2 0.2030 0.2030 0.2030
Os3 0.7970 0.7970 0.7970

Computed properties:
Offset from the most stable computed form ... 0.38 kcal/mol of atoms
Mass density ... 15.3 g cm⁻³
SG ... R-3m (166)
Total magnetic moment ... 0.000 μB per cell
Electronic total energy ... -8.95 eV per atom
Formation energy without anion corrections ... -0.19 eV per formula unit

=====

Here is crystalline NaCa2MgHg4 at its relaxed geometry from Alexandria via LeMat-Bulk. Energies are from PBE.

Cell: 5.2070 5.2070 9.0809 Å, 73.34 73.34 60.00°
Positions (direct):
Na1 0.0000 0.0000 0.0000
Hg1 0.8733 0.8733 0.3800
Ca1 0.7514 0.7514 0.7459
Hg2 0.3774 0.3774 0.8677
Mg1 0.5000 0.5000 0.5000
Hg3 0.6226 0.6226 0.1323
Ca2 0.2486 0.2486 0.2541
Hg4 0.1267 0.1267 0.6200

Computed properties:
Energy of formation ... -397 meV per atom
Mass density ... 7.7 g cm⁻³
SG ... R-3m (166)
Total magnetic moment ... 0.000 μB per cell
Electronic total energy ... -1.41 eV per atom

=====

Here is crystalline HgW at its relaxed geometry from Alexandria via LeMat-Bulk. Energies are from PBE.

Cell: 8.4224 8.4224 4.2187 Å, 90.00 90.00 120.00°
Positions (direct):
Hg1 0.6423 0.8212 0.7500
W1 0.5568 0.1135 0.7500
Hg2 0.1789 0.3577 0.7500
Hg3 0.3577 0.1788 0.2500
W2 0.4432 0.5568 0.2500
W3 0.8865 0.4432 0.7500
W4 0.5568 0.4432 0.7500
Hg4 0.8211 0.6423 0.2500
W5 0.4432 0.8865 0.2500
Hg5 0.1788 0.8211 0.7500
W6 0.1135 0.5568 0.2500
Hg6 0.8212 0.1789 0.2500

Computed properties:
Offset from the most stable computed form ... 6.24 kcal/mol of atoms
Energy of formation ... 775 meV per atom
Mass density ... 14.8 g cm⁻³
SG ... P6_3/mmc (194)
Total magnetic moment ... 0.000 μB per cell
Electronic total energy ... -5.85 eV per atom